# Ce6PuSn2, optimized geometry, DFT PBE
# Crystal system: monoclinic
# Energy above the most stable polymorph in this dataset, eV per atom: 0.0174
# Spin magnetization, μB/cell: 0.00
# Calculated total energy, eV for the cell shown: -124.9
# Energy of formation, eV/atom: -0.503
# Calculated density, g/cm³: 9.07
data_Ce6PuSn2
_cell_length_a 12.130
_cell_length_b 7.002
_cell_length_c 5.701
_cell_angle_alpha 90.00
_cell_angle_beta 90.04
_cell_angle_gamma 90.00
_symmetry_space_group_name_H-M 'C 1 2/m 1'
_symmetry_Int_Tables_number 12
_symmetry_space_group_name_Hall '-C 2y'
loop_
_atom_site_label
_atom_site_type_symbol
_atom_site_fract_x
_atom_site_fract_y
_atom_site_fract_z
_atom_site_occupancy
Ce1 Ce 0.084 0.247 0.261 1
Ce2 Ce 0.169 0.500 0.738 1
Pu1 Pu 0.000 0.500 0.500 1
Sn1 Sn 0.167 0.000 0.768 1


# CePuSn6, optimized geometry, DFT PBE
# Crystal system: tetragonal
# Spin magnetization, μB/cell: 5.07
# Calculated total energy, eV for the cell shown: -47.9
# Energy of formation, eV/atom: -0.457
# Calculated density, g/cm³: 8.80
data_CePuSn6
_cell_length_a 4.704
_cell_length_b 4.704
_cell_length_c 9.353
_cell_angle_alpha 90.00
_cell_angle_beta 90.00
_cell_angle_gamma 90.00
_symmetry_space_group_name_H-M 'P 4/m m m'
_symmetry_Int_Tables_number 123
_symmetry_space_group_name_Hall '-P 4 2'
loop_
_atom_site_label
_atom_site_type_symbol
_atom_site_fract_x
_atom_site_fract_y
_atom_site_fract_z
_atom_site_occupancy
Ce1 Ce 0.000 0.000 0.000 1
Pu1 Pu 0.000 0.000 0.500 1
Sn1 Sn 0.000 0.500 0.253 1
Sn2 Sn 0.500 0.500 0.000 1
Sn3 Sn 0.500 0.500 0.500 1


# CePuTcSn, optimized geometry, DFT PBE
# Crystal system: cubic
# Spin magnetization, μB/cell: 20.61
# Calculated total energy, eV for the cell shown: -140.8
# Energy of formation, eV/atom: -0.142
# Calculated density, g/cm³: 11.61
data_CePuTcSn
_cell_length_a 7.005
_cell_length_b 7.005
_cell_length_c 7.005
_cell_angle_alpha 90.00
_cell_angle_beta 90.00
_cell_angle_gamma 90.00
_symmetry_space_group_name_H-M 'F -4 3 m'
_symmetry_Int_Tables_number 216
_symmetry_space_group_name_Hall 'F -4 2 3'
loop_
_atom_site_label
_atom_site_type_symbol
_atom_site_fract_x
_atom_site_fract_y
_atom_site_fract_z
_atom_site_occupancy
Ce1 Ce 0.000 0.000 0.000 1
Pu1 Pu 0.250 0.250 0.250 1
Tc1 Tc 0.250 0.250 0.750 1
Sn1 Sn 0.000 0.000 0.500 1